Mg2Zn2Ni PBE-GGA optimized geometry; relative energy among the computed polymorphs = 0.00 kJ per mole of atoms; DFT total energy = -2.45 eV per atom; ΔE_f = -147 meV per atom; spin magnetization = 0.00 μB/cell; volume = 163.10 Å³ per cell
1.0
-4.776 1.829 1.147
-4.104 -3.233 -0.424
-1.217 -2.214 6.614
Mg Zn Ni
4 4 2
Direct
0.457 0.226 0.139
0.774 0.543 0.361
0.543 0.774 0.861
0.226 0.457 0.639
0.754 0.009 0.483
0.991 0.246 0.017
0.246 0.991 0.517
0.009 0.754 0.983
0.216 0.784 0.250
0.784 0.216 0.750